{"formula": "LiCoPO4", "functional": "PBE with a Hubbard U", "state": "optimized geometry", "dft_energy_ev_per_cell": -184.0, "lattice": [[5.8871, 0.0000, 0.0000], [1.0082, 6.3464, 0.0000], [0.6715, 2.2449, 9.0822]], "species": ["Li", "Li", "Li", "Li", "Co", "Co", "Co", "Co", "P", "P", "P", "P", "O", "O", "O", "O", "O", "O", "O", "O", "O", "O", "O", "O", "O", "O", "O", "O"], "fractional_positions": [[0.0845, 0.3634, 0.1759], [0.1010, 0.8685, 0.2449], [0.8990, 0.1315, 0.7551], [0.9155, 0.6366, 0.8241], [0.3026, 0.6252, 0.5738], [0.4695, 0.9234, 0.7913], [0.5305, 0.0766, 0.2087], [0.6974, 0.3748, 0.4262], [0.2182, 0.1708, 0.4961], [0.3401, 0.2894, 0.8817], [0.6599, 0.7106, 0.1183], [0.7818, 0.8292, 0.5039], [0.0264, 0.7412, 0.4547], [0.1900, 0.1202, 0.8583], [0.2232, 0.1465, 0.3351], [0.2354, 0.5236, 0.7956], [0.2999, 0.9505, 0.6050], [0.3352, 0.2917, 0.0471], [0.3768, 0.3409, 0.5056], [0.4150, 0.7841, 0.1767], [0.5850, 0.2159, 0.8233], [0.6232, 0.6591, 0.4944], [0.6648, 0.7083, 0.9529], [0.7001, 0.0495, 0.3950], [0.7646, 0.4764, 0.2044], [0.7768, 0.8535, 0.6649], [0.8100, 0.8798, 0.1417], [0.9736, 0.2588, 0.5453]]}